KTa2Ag (PBEsol, relaxed); total moment = 0.00 μB/cell; E above lowest polymorph = 0.0 kJ/mol of atoms; crystal system = monoclinic
1.0
2.892 0.000 0.000
0.000 3.527 0.000
-0.017 0.000 9.086
K Ta Ag
1 2 1
Cartesian
0.000 0.000 0.000 K
1.420 1.764 3.132 Ta
2.865 0.000 4.734 Ta
1.420 1.764 6.480 Ag